Entry 1:
# ZrSi2W (PBE, relaxed)
# E above lowest polymorph   0.2293 eV/atom
data_ZrSi2W
_cell_length_a 5.903
_cell_length_b 7.489
_cell_length_c 3.051
_cell_angle_alpha 90.00
_cell_angle_beta 105.30
_cell_angle_gamma 90.00
_symmetry_space_group_name_H-M 'C 1 2/m 1'
_symmetry_Int_Tables_number 12
loop_
_symmetry_equiv_pos_as_xyz
'x,y,z'
'-x,-y,-z'
'-x,y,-z'
'x,-y,z'
'x+1/2,y+1/2,z'
'-x+1/2,-y+1/2,-z'
'-x+1/2,y+1/2,-z'
'x+1/2,-y+1/2,z'
loop_
_atom_site_label
_atom_site_type_symbol
_atom_site_fract_x
_atom_site_fract_y
_atom_site_fract_z
Zr1 Zr 0.000 0.000 0.000
Si1 Si 0.250 0.250 0.500
W1 W 0.000 0.500 0.000

---

Entry 2:
# ZrSi2W (PBE, relaxed)
# E above lowest polymorph   0.3493 eV/atom
data_ZrSi2W
_cell_length_a 3.0502
_cell_length_b 3.0502
_cell_length_c 25.0590
_cell_angle_alpha 90.00
_cell_angle_beta 90.00
_cell_angle_gamma 120.00
_symmetry_space_group_name_H-M 'R -3 m'
_symmetry_Int_Tables_number 166
_symmetry_space_group_name_Hall '-R 3 2"'
loop_
_atom_site_label
_atom_site_type_symbol
_atom_site_fract_x
_atom_site_fract_y
_atom_site_fract_z
Zr1 Zr 0.0000 0.0000 0.0000
Si1 Si 0.0000 0.0000 0.2415
W1 W 0.0000 0.0000 0.5000

---

Entry 3:
# ZrSi2W (PBE, relaxed)
# E above lowest polymorph   0.6330 eV/atom
data_ZrSi2W
_cell_length_a 3.978
_cell_length_b 3.978
_cell_length_c 18.324
_cell_angle_alpha 90.00
_cell_angle_beta 90.00
_cell_angle_gamma 90.00
_symmetry_space_group_name_H-M 'I -4 2 d'
_symmetry_Int_Tables_number 122
_symmetry_space_group_name_Hall 'I -4 2bw'
loop_
_atom_site_label
_atom_site_type_symbol
_atom_site_fract_x
_atom_site_fract_y
_atom_site_fract_z
Zr1 Zr 0.000 0.000 0.000
Si1 Si 0.194 0.250 0.625
W1 W 0.000 0.000 0.500

---

Entry 4:
# ZrSiW (PBE, relaxed)
# Uncorrected energy   -8.921 eV/atom
data_ZrSiW
_cell_length_a 6.099
_cell_length_b 6.099
_cell_length_c 6.099
_cell_angle_alpha 90.00
_cell_angle_beta 90.00
_cell_angle_gamma 90.00
_symmetry_space_group_name_H-M 'F -4 3 m'
_symmetry_Int_Tables_number 216
_symmetry_space_group_name_Hall 'F -4 2 3'
loop_
_atom_site_label
_atom_site_type_symbol
_atom_site_fract_x
_atom_site_fract_y
_atom_site_fract_z
Zr1 Zr 0.000 0.000 0.000
Si1 Si 0.250 0.250 0.750
W1 W 0.000 0.000 0.500

---

Entry 5:
# ZrSiW3 (PBE, relaxed)
# E above lowest polymorph   1.9117 eV/atom
data_ZrSiW3
_cell_length_a 4.801
_cell_length_b 4.801
_cell_length_c 4.801
_cell_angle_alpha 90.00
_cell_angle_beta 90.00
_cell_angle_gamma 90.00
_symmetry_space_group_name_H-M 'P m -3 m'
_symmetry_Int_Tables_number 221
_symmetry_space_group_name_Hall '-P 4 2 3'
loop_
_atom_site_label
_atom_site_type_symbol
_atom_site_fract_x
_atom_site_fract_y
_atom_site_fract_z
Zr1 Zr 0.000 0.000 0.000
Si1 Si 0.500 0.500 0.500
W1 W 0.000 0.000 0.500

---

Entry 6:
# ZrSi2W (PBE, relaxed)
# E above lowest polymorph   0.5575 eV/atom
data_ZrSi2W
_cell_length_a 3.467
_cell_length_b 4.415
_cell_length_c 8.628
_cell_angle_alpha 90.00
_cell_angle_beta 90.00
_cell_angle_gamma 90.00
_symmetry_space_group_name_H-M 'C m m 2'
_symmetry_Int_Tables_number 35
loop_
_symmetry_equiv_pos_as_xyz
'x,y,z'
'-x,-y,z'
'-x,y,z'
'x,-y,z'
'x+1/2,y+1/2,z'
'-x+1/2,-y+1/2,z'
'-x+1/2,y+1/2,z'
'x+1/2,-y+1/2,z'
loop_
_atom_site_label
_atom_site_type_symbol
_atom_site_fract_x
_atom_site_fract_y
_atom_site_fract_z
Zr1 Zr 0.000 0.000 0.000
Si1 Si 0.000 0.000 0.502
Si2 Si 0.000 0.500 0.745
W1 W 0.000 0.500 0.282

---

Entry 7:
# ZrSi2W (PBE, relaxed)
# E above lowest polymorph   0.5509 eV/atom
data_ZrSi2W
_cell_length_a 2.9539
_cell_length_b 2.9539
_cell_length_c 26.4772
_cell_angle_alpha 90.00
_cell_angle_beta 90.00
_cell_angle_gamma 120.00
_symmetry_space_group_name_H-M 'R 3 m'
_symmetry_Int_Tables_number 160
_symmetry_space_group_name_Hall 'R 3 -2"'
loop_
_atom_site_label
_atom_site_type_symbol
_atom_site_fract_x
_atom_site_fract_y
_atom_site_fract_z
Zr1 Zr 0.0000 0.0000 0.0000
Si1 Si 0.0000 0.0000 0.4920
Si2 Si 0.0000 0.0000 0.7527
W1 W 0.0000 0.0000 0.2344

---

Entry 8:
# Zr2SiW (PBE, relaxed)
# Uncorrected energy   -9.138 eV/atom
data_Zr2SiW
_cell_length_a 3.545
_cell_length_b 4.243
_cell_length_c 5.403
_cell_angle_alpha 90.00
_cell_angle_beta 108.84
_cell_angle_gamma 90.00
_symmetry_space_group_name_H-M 'P 1 m 1'
_symmetry_Int_Tables_number 6
loop_
_symmetry_equiv_pos_as_xyz
'x,y,z'
'x,-y,z'
loop_
_atom_site_label
_atom_site_type_symbol
_atom_site_fract_x
_atom_site_fract_y
_atom_site_fract_z
Zr1 Zr 0.000 0.000 0.000
Zr2 Zr 0.280 0.500 0.575
Si1 Si 0.568 0.500 0.142
W1 W 0.715 0.000 0.446

---

Entry 9:
# ZrSi2W (PBE, relaxed)
# E above lowest polymorph   0.2533 eV/atom
data_ZrSi2W
_cell_length_a 6.350
_cell_length_b 6.350
_cell_length_c 6.350
_cell_angle_alpha 90.00
_cell_angle_beta 90.00
_cell_angle_gamma 90.00
_symmetry_space_group_name_H-M 'F m -3 m'
_symmetry_Int_Tables_number 225
_symmetry_space_group_name_Hall '-F 4 2 3'
loop_
_atom_site_label
_atom_site_type_symbol
_atom_site_fract_x
_atom_site_fract_y
_atom_site_fract_z
Zr1 Zr 0.000 0.000 0.000
Si1 Si 0.250 0.250 0.250
W1 W 0.000 0.000 0.500

---

Entry 10:
# Zr2SiW (PBE, relaxed)
# Uncorrected energy   -8.907 eV/atom
data_Zr2SiW
_cell_length_a 2.883
_cell_length_b 2.883
_cell_length_c 8.829
_cell_angle_alpha 90.00
_cell_angle_beta 90.00
_cell_angle_gamma 90.00
_symmetry_space_group_name_H-M 'P 4/m m m'
_symmetry_Int_Tables_number 123
_symmetry_space_group_name_Hall '-P 4 2'
loop_
_atom_site_label
_atom_site_type_symbol
_atom_site_fract_x
_atom_site_fract_y
_atom_site_fract_z
Zr1 Zr 0.000 0.000 0.229
Si1 Si 0.500 0.500 0.000
W1 W 0.500 0.500 0.500

---

Entry 11:
# ZrSi2W (PBE, relaxed)
# E above lowest polymorph   0.6144 eV/atom
data_ZrSi2W
_cell_length_a 2.760
_cell_length_b 2.760
_cell_length_c 8.716
_cell_angle_alpha 90.00
_cell_angle_beta 90.00
_cell_angle_gamma 90.00
_symmetry_space_group_name_H-M 'P 4 m m'
_symmetry_Int_Tables_number 99
loop_
_symmetry_equiv_pos_as_xyz
'x,y,z'
'-y,x,z'
'-x,-y,z'
'y,-x,z'
'-x,y,z'
'y,x,z'
'x,-y,z'
'-y,-x,z'
loop_
_atom_site_label
_atom_site_type_symbol
_atom_site_fract_x
_atom_site_fract_y
_atom_site_fract_z
Zr1 Zr 0.000 0.000 0.000
Si1 Si 0.000 0.000 0.493
Si2 Si 0.500 0.500 0.243
W1 W 0.500 0.500 0.716

---

Entry 12:
# ZrSi2W (PBE, relaxed)
# E above lowest polymorph   0.1362 eV/atom
data_ZrSi2W
_cell_length_a 3.114
_cell_length_b 3.114
_cell_length_c 6.651
_cell_angle_alpha 90.00
_cell_angle_beta 90.00
_cell_angle_gamma 90.00
_symmetry_space_group_name_H-M 'P 4/m m m'
_symmetry_Int_Tables_number 123
_symmetry_space_group_name_Hall '-P 4 2'
loop_
_atom_site_label
_atom_site_type_symbol
_atom_site_fract_x
_atom_site_fract_y
_atom_site_fract_z
Zr1 Zr 0.000 0.000 0.000
Si1 Si 0.500 0.500 0.290
W1 W 0.000 0.000 0.500

---

Entry 13:
# ZrSi2W (PBE, relaxed)
# E above lowest polymorph   0.2236 eV/atom
data_ZrSi2W
_cell_length_a 9.782
_cell_length_b 2.903
_cell_length_c 4.662
_cell_angle_alpha 90.00
_cell_angle_beta 105.64
_cell_angle_gamma 90.00
_symmetry_space_group_name_H-M 'C 1 m 1'
_symmetry_Int_Tables_number 8
loop_
_symmetry_equiv_pos_as_xyz
'x,y,z'
'x,-y,z'
'x+1/2,y+1/2,z'
'x+1/2,-y+1/2,z'
loop_
_atom_site_label
_atom_site_type_symbol
_atom_site_fract_x
_atom_site_fract_y
_atom_site_fract_z
Zr1 Zr 0.000 0.000 0.000
Si1 Si 0.256 0.500 0.151
Si2 Si 0.465 0.000 0.478
W1 W 0.211 0.000 0.616

---

Entry 14:
# ZrSi2W (PBE, relaxed)
# E above lowest polymorph   0.1979 eV/atom
data_ZrSi2W
_cell_length_a 3.619
_cell_length_b 4.817
_cell_length_c 7.526
_cell_angle_alpha 90.00
_cell_angle_beta 90.00
_cell_angle_gamma 90.00
_symmetry_space_group_name_H-M 'I m m m'
_symmetry_Int_Tables_number 71
_symmetry_space_group_name_Hall '-I 2 2'
loop_
_atom_site_label
_atom_site_type_symbol
_atom_site_fract_x
_atom_site_fract_y
_atom_site_fract_z
Zr1 Zr 0.000 0.000 0.000
Si1 Si 0.000 0.500 0.242
W1 W 0.000 0.000 0.500

---

Number 1: ρ 8.46 g/cm³, total magnetization 0.00 μB per atom. Number 2: ρ 8.17 g/cm³, total magnetization 0.00 μB per atom. Number 3: ρ 7.59 g/cm³, total magnetization 0.00 μB per atom. Number 4: ρ 8.88 g/cm³, total magnetization 0.00 μB per atom. Number 5: ρ 10.07 g/cm³, total magnetization 0.00 μB per atom. Number 6: ρ 8.33 g/cm³, total magnetization 0.00 μB per atom. Number 7: ρ 8.25 g/cm³, total magnetization 0.00 μB per atom. Number 8: ρ 8.52 g/cm³, total magnetization 0.00 μB per atom. Number 9: ρ 8.59 g/cm³, total magnetization 0.00 μB per atom. Number 10: ρ 8.93 g/cm³, total magnetization 0.00 μB per atom. Number 11: ρ 8.28 g/cm³, total magnetization 0.00 μB per atom. Number 12: ρ 8.53 g/cm³, total magnetization 0.00 μB per atom. Number 13: ρ 8.63 g/cm³, total magnetization 0.00 μB per atom. Number 14: ρ 8.39 g/cm³, total magnetization 0.00 μB per atom.